No. 1
A geometry-optimized La2Nd12Sm5 structure, computed with PBE.

Calculated values
**Total energy**: -4.64 eV per atom
**Density of states at the Fermi level**: 1.4547 states/eV per atom
**Spin magnetization**: 0.000 μB per formula unit
**Density**: 6752 kg/m³
**Energy of formation**: 2.5 eV per formula unit

Unit cell a=20.3554 b=7.5534 c=8.9670 alpha=90.00 beta=99.97 gamma=90.00
With the nearest neighbours (Å) after each atom.
Space group C2/m (No. 12)
One atom of each set of equivalent atoms:
La  0.0000  0.2393  0.0000 [4 per cell]  4 Nd 3.59-3.74, 2 La 3.62-3.94, 2 Sm 3.95
Nd  0.0405  0.5000  0.6734 [4 per cell]  5 Nd 3.26-3.54
Nd  0.1094  0.2544  0.3597 [8 per cell]  4 Sm 3.35-3.53, 4 Nd 3.50-3.71, 1 La 3.59
Nd  0.1694  0.2308  0.7561 [8 per cell]  4 Nd 3.30-3.56, 3 Sm 3.52-3.65
Nd  0.1803  0.0000  0.1017 [4 per cell]  6 Nd 3.50-3.71, 4 Sm 3.64-3.78
Sm  0.0000  0.0000  0.5000 [2 per cell]  4 Nd 3.35
Sm  0.1705  0.5000  0.0836 [4 per cell]  9 Nd 3.49-3.78, 1 Sm 3.77
Sm  0.2480  0.5000  0.4976 [4 per cell]  9 Nd 3.42-3.65, 3 Sm 3.77-3.78



No. 2
A geometry-optimized La3Nd5Sm2 structure, computed with PBE.

Calculated values
**Total energy**: -4.56 eV per atom
**Density of states at the Fermi level**: 1.5664 states/eV per atom
**Spin magnetization**: 0.000 μB per formula unit
**Density**: 6635 kg/m³
**Energy of formation**: 2.5 eV per formula unit

Unit cell a=12.3583 b=17.4942 c=6.6614 alpha=90.00 beta=90.00 gamma=90.00
With the nearest neighbours (Å) after each atom.
Space group Ibam (No. 72)
One atom of each set of equivalent atoms:
La  0.0000  0.0000  0.2500 [4 per cell]  2 Nd 3.10, 2 La 3.33
La  0.0814  0.3308  0.0000 [8 per cell]  3 Nd 3.45-3.54, 1 Sm 3.56
Nd  0.0000  0.5000  0.2500 [4 per cell]  4 Nd 3.08-3.33
Nd  0.2406  0.1687  0.0000 [8 per cell]  2 Nd 3.39, 1 La 3.45, 1 Sm 3.52
Nd  0.2491  0.5000  0.2500 [8 per cell]  5 Nd 3.08-3.39, 1 La 3.10
Sm  0.0923  0.1683  0.5000 [8 per cell]  5 Nd 3.52-3.91, 3 La 3.56-3.57